Material: CuNiAg2Cl6
Method: DFT, PBE
State: relaxed

Values from the calculation:
As for the uncorrected formation energy: -4.45 eV per formula unit.

POSCAR file:
```
CuNiAg2Cl6
1.0
6.373 0.113 0.091
3.282 5.842 0.292
3.293 2.230 5.779
Cl Ni Ag Cu
6 1 2 1
Cartesian
5.179 1.712 1.776 Cl
8.932 3.884 1.739 Cl
7.170 2.501 4.750 Cl
5.222 6.255 1.953 Cl
4.560 4.495 4.658 Cl
7.773 5.797 4.779 Cl
3.216 2.000 0.351 Ni
3.341 2.210 5.024 Ag
6.429 3.967 2.274 Ag
9.697 6.123 3.463 Cu
```

Material: Zr2ZnP
Method: DFT, PBE
State: relaxed

Values from the calculation:
The value obtained for the formation energy is -449 meV/atom.

POSCAR file:
```
Zr2ZnP
1.0
1.316 2.984 3.323
-3.105 1.538 3.110
0.247 -1.411 4.430
P Zr Zn
1 2 1
Cartesian
0.000 0.000 0.000 P
-0.385 0.778 2.716 Zr
-1.156 2.333 8.147 Zr
-0.771 1.555 5.432 Zn
```

Material: YV2Sb
Method: DFT, PBE
State: relaxed

Values from the calculation:
As for the uncorrected formation energy: 2.38 eV per formula unit.

POSCAR file:
```
YV2Sb
1.0
7.781 0.000 0.000
0.000 7.781 0.000
3.891 3.891 2.880
V Y Sb
4 2 2
Cartesian
6.139 1.945 0.720 V
1.643 5.836 0.720 V
9.727 10.029 2.160 V
5.836 5.533 2.160 V
3.891 7.781 1.440 Y
3.891 3.891 0.000 Y
7.781 3.891 1.440 Sb
0.000 0.000 0.000 Sb
```

Material: BaTi3Nb
Method: DFT, PBE
State: relaxed

Values from the calculation:
Its excess energy over the best structure of this formula in the dataset is 0 meV/atom. The value obtained for the formation energy is 783 meV/atom.

POSCAR file:
```
BaTi3Nb
1.0
-1.790 0.825 4.652
1.149 -4.749 1.284
4.582 1.513 1.495
Ti Nb Ba
3 1 1
Cartesian
-0.895 0.413 2.326 Ti
0.575 -2.374 0.642 Ti
2.291 0.757 0.747 Ti
0.000 0.000 0.000 Nb
1.971 -1.205 3.715 Ba
```

Material: Y4Sb3H
Method: DFT, PBE
State: relaxed

Values from the calculation:
The calculation puts the electronic total energy at -0.444 Ry/atom.

POSCAR file:
```
Y4Sb3H
1.0
-3.314 -5.066 0.886
2.614 -0.750 5.491
-8.767 6.624 5.079
H Y Sb
2 8 6
Cartesian
-2.806 -5.159 1.885 H
-3.878 0.211 7.458 H
-5.808 0.326 3.975 Y
-2.860 2.070 6.789 Y
-2.042 -1.800 5.924 Y
-6.129 4.435 5.163 Y
-1.453 -3.396 1.921 Y
-1.813 1.174 2.663 Y
-6.493 1.563 8.503 Y
1.955 -0.948 4.612 Y
-7.764 1.900 5.731 Sb
-0.467 0.761 5.388 Sb
-4.867 4.085 7.937 Sb
0.083 -3.423 4.609 Sb
-3.397 -1.399 3.201 Sb
-3.941 2.794 3.979 Sb
```

Material: In2SnCl4
Method: DFT, PBE
State: relaxed

Values from the calculation:
As for the uncorrected formation energy: -6.21 eV per formula unit. Its excess energy over the best structure of this formula in the dataset is 0 meV/atom.

POSCAR file:
```
In2SnCl4
1.0
7.437 0.000 0.000
0.000 8.074 0.000
0.000 0.000 16.143
Cl In Sn
16 8 4
Cartesian
2.326 5.626 15.606 Cl
2.928 7.778 2.725 Cl
5.112 1.589 8.607 Cl
4.509 0.297 13.418 Cl
2.928 4.334 10.796 Cl
6.044 6.485 0.536 Cl
6.647 4.334 13.418 Cl
5.112 2.448 0.536 Cl
4.509 3.741 5.346 Cl
2.326 6.485 7.535 Cl
0.790 3.741 2.725 Cl
6.044 5.626 8.607 Cl
1.393 1.589 15.606 Cl
1.393 2.448 7.535 Cl
6.647 7.778 5.346 Cl
0.790 0.297 10.796 Cl
7.368 4.714 5.631 In
3.649 7.397 10.512 In
0.069 3.360 10.512 In
3.788 3.360 13.702 In
3.649 4.714 2.440 In
3.788 0.677 5.631 In
7.368 7.397 13.702 In
0.069 0.677 2.440 In
0.000 4.037 0.000 Sn
0.000 0.000 8.071 Sn
3.719 4.037 8.071 Sn
3.719 0.000 0.000 Sn
```

Material: Co2RhAuC
Method: DFT, PBE
State: relaxed

Values from the calculation:
The value obtained for the formation energy is 227 meV/atom.

POSCAR file:
```
Co2RhAuC
1.0
-1.221 0.735 3.632
2.918 -2.166 1.420
2.356 3.260 0.133
Co Au C Rh
2 1 1 1
Cartesian
1.459 -1.083 0.710 Co
-0.611 0.367 1.816 Co
2.026 0.914 2.592 Au
0.000 0.000 0.000 C
1.178 1.630 0.066 Rh
```